Record 1
Density functional theory data (PBE) for a relaxed Pm2Ga4CuPt3 crystal.

Volume in Å³ per cell: 190.87
DOS(E_F) in states/eV/atom: 0.603
Formation energy in eV/atom: -0.85

Unit cell a=4.2295 b=4.2295 c=10.6695 alpha=90.00 beta=90.00 gamma=90.00
Fractional coordinates of all 10 atoms:
Pm (0.0000, 0.5000, 0.2472)
Pm (0.5000, 0.0000, 0.7528)
Ga (0.0000, 0.0000, 0.0000)
Ga (0.0000, 0.5000, 0.6285)
Ga (0.5000, 0.0000, 0.3715)
Ga (0.5000, 0.5000, 0.0000)
Cu (0.0000, 0.0000, 0.5000)
Pt (0.0000, 0.5000, 0.8632)
Pt (0.5000, 0.0000, 0.1368)
Pt (0.5000, 0.5000, 0.5000)

Record 2
Density functional theory data (PBE) for a relaxed Nd4YGe4 crystal.

Volume in Å³ per cell: 509.02
DOS(E_F) in states/eV/atom: 1.045
Formation energy in eV/atom: -0.60

Unit cell a=9.1238 b=9.1238 c=6.1147 alpha=90.00 beta=90.00 gamma=90.00
Fractional coordinates of all 18 atoms:
Nd (0.0540, 0.6691, 0.1201)
Nd (0.1691, 0.9460, 0.6201)
Nd (0.3309, 0.5540, 0.6201)
Nd (0.4460, 0.8309, 0.1201)
Nd (0.5540, 0.1691, 0.8799)
Nd (0.6691, 0.4460, 0.3799)
Nd (0.8309, 0.0540, 0.3799)
Nd (0.9460, 0.3309, 0.8799)
Y (0.2500, 0.2500, 0.2500)
Y (0.7500, 0.7500, 0.7500)
Ge (0.0147, 0.6276, 0.6105)
Ge (0.1276, 0.9853, 0.1105)
Ge (0.3724, 0.5147, 0.1105)
Ge (0.4853, 0.8724, 0.6105)
Ge (0.5147, 0.1276, 0.3895)
Ge (0.6276, 0.4853, 0.8895)
Ge (0.8724, 0.0147, 0.8895)
Ge (0.9853, 0.3724, 0.3895)

Record 3
Density functional theory data (PBE) for a relaxed Hf4MoP crystal.

Volume in Å³ per cell: 276.21
DOS(E_F) in states/eV/atom: 0.955
Formation energy in eV/atom: 0.15

Unit cell a=7.1059 b=7.1059 c=7.1059 alpha=109.42 beta=109.42 gamma=109.58
Fractional coordinates of all 12 atoms:
Hf (0.1938, 0.0000, 0.1938)
Hf (0.2659, 0.5708, 0.3050)
Hf (0.2659, 0.9609, 0.6950)
Hf (0.3208, 0.5159, 0.8050)
Hf (0.7109, 0.5159, 0.1950)
Hf (0.7500, 0.0562, 0.3062)
Hf (0.7500, 0.4438, 0.6938)
Hf (0.8062, 0.0000, 0.8062)
Mo (0.0067, 0.5067, 0.5000)
Mo (0.2567, 0.2567, 0.0000)
P (0.5102, 0.0102, 0.5000)
P (0.7602, 0.7602, 0.0000)

Record 4
Density functional theory data (PBE) for a relaxed Li2Ge2Au5 crystal.

Excess energy over the best structure of this formula in the dataset in meV per atom: 75.8
Volume in Å³ per cell: 340.81
DOS(E_F) in states/eV/atom: 0.231
Formation energy in eV/atom: -0.20

Unit cell a=8.2916 b=8.2916 c=8.2916 alpha=76.61 beta=131.74 gamma=124.46
Fractional coordinates of all 18 atoms:
Li (0.0391, 0.1348, 0.1739)
Li (0.0391, 0.3652, 0.4043)
Li (0.9609, 0.6348, 0.5957)
Li (0.9609, 0.8652, 0.8261)
Ge (0.3824, 0.3824, 0.0000)
Ge (0.3824, 0.8824, 0.5000)
Ge (0.5915, 0.3773, 0.7142)
Ge (0.6631, 0.8773, 0.2858)
Au (0.0292, 0.4054, 0.9138)
Au (0.0292, 0.6154, 0.1238)
Au (0.1666, 0.0566, 0.6100)
Au (0.4466, 0.5566, 0.3900)
Au (0.4916, 0.1154, 0.0862)
Au (0.4916, 0.9054, 0.8762)
Au (0.5275, 0.2616, 0.3837)
Au (0.5275, 0.6439, 0.7659)
Au (0.8779, 0.1439, 0.6163)
Au (0.8779, 0.7616, 0.2341)

Record 5
Density functional theory data (PBE) for a relaxed LaYV3 crystal.

Excess energy over the best structure of this formula in the dataset in meV per atom: 0.0
Volume in Å³ per cell: 105.16
DOS(E_F) in states/eV/atom: 1.419
Formation energy in eV/atom: 1.27

Unit cell a=4.7202 b=4.7202 c=4.7202 alpha=90.00 beta=90.00 gamma=90.00
Fractional coordinates of all 5 atoms:
La (0.0000, 0.0000, 0.0000)
Y (0.5000, 0.5000, 0.5000)
V (0.0000, 0.0000, 0.5000)
V (0.0000, 0.5000, 0.0000)
V (0.5000, 0.0000, 0.0000)

Record 6
Density functional theory data (PBE) for a relaxed Ca5Pb crystal.

Excess energy over the best structure of this formula in the dataset in meV per atom: 428.5
Volume in Å³ per cell: 255.27
DOS(E_F) in states/eV/atom: 1.031
Formation energy in eV/atom: 0.21

Unit cell a=6.8356 b=6.8356 c=6.3084 alpha=90.00 beta=90.00 gamma=120.00
Fractional coordinates of all 6 atoms:
Ca (0.0000, 0.5000, 0.0000)
Ca (0.3333, 0.6667, 0.5000)
Ca (0.5000, 0.0000, 0.0000)
Ca (0.5000, 0.5000, 0.0000)
Ca (0.6667, 0.3333, 0.5000)
Pb (0.0000, 0.0000, 0.5000)

Record 7
Density functional theory data (PBE) for a relaxed Mg2ReSb crystal.

Volume in Å³ per cell: 249.51
DOS(E_F) in states/eV/atom: 0.550
ΔE_f (raw) in eV per atom: 0.300

Unit cell a=3.1781 b=3.1781 c=28.5240 alpha=90.00 beta=90.00 gamma=120.00
Fractional coordinates of all 12 atoms:
Mg (0.0000, 0.0000, 0.0000)
Mg (0.0000, 0.0000, 0.2380)
Mg (0.3333, 0.6667, 0.6667)
Mg (0.3333, 0.6667, 0.9047)
Mg (0.6667, 0.3333, 0.3333)
Mg (0.6667, 0.3333, 0.5713)
Re (0.0000, 0.0000, 0.4962)
Re (0.3333, 0.6667, 0.1629)
Re (0.6667, 0.3333, 0.8295)
Sb (0.0000, 0.0000, 0.7602)
Sb (0.3333, 0.6667, 0.4269)
Sb (0.6667, 0.3333, 0.0935)

Record 8
Density functional theory data (PBE) for a relaxed BeTeAu crystal.

Excess energy over the best structure of this formula in the dataset in meV per atom: 75.5
Volume in Å³ per cell: 235.75
DOS(E_F) in states/eV/atom: 0.590
ΔE_f (raw) in eV per atom: 0.161

Unit cell a=6.1775 b=6.1775 c=6.1775 alpha=90.00 beta=90.00 gamma=90.00
Fractional coordinates of all 12 atoms:
Be (0.0000, 0.0000, 0.0000)
Be (0.0000, 0.5000, 0.5000)
Be (0.5000, 0.0000, 0.5000)
Be (0.5000, 0.5000, 0.0000)
Te (0.2500, 0.2500, 0.2500)
Te (0.2500, 0.7500, 0.7500)
Te (0.7500, 0.2500, 0.7500)
Te (0.7500, 0.7500, 0.2500)
Au (0.2500, 0.2500, 0.7500)
Au (0.2500, 0.7500, 0.2500)
Au (0.7500, 0.2500, 0.2500)
Au (0.7500, 0.7500, 0.7500)

Record 9
Density functional theory data (PBE) for a relaxed Ac2Nd5Dy4 crystal.

Volume in Å³ per cell: 389.71
DOS(E_F) in states/eV/atom: 1.452
Formation energy in eV/atom: 0.03

Unit cell a=6.3653 b=8.2385 c=8.2526 alpha=107.43 beta=97.17 gamma=104.75
Fractional coordinates of all 11 atoms:
Ac (0.1381, 0.0468, 0.2307)
Ac (0.8619, 0.9532, 0.7693)
Nd (0.2263, 0.4139, 0.0456)
Nd (0.4096, 0.1395, 0.6844)
Nd (0.5000, 0.5000, 0.5000)
Nd (0.5904, 0.8605, 0.3156)
Nd (0.7737, 0.5861, 0.9544)
Dy (0.0480, 0.6744, 0.4093)
Dy (0.3189, 0.7678, 0.8617)
Dy (0.6811, 0.2322, 0.1383)
Dy (0.9520, 0.3256, 0.5907)

Record 10
Density functional theory data (PBE) for a relaxed PuNpBi2 crystal.

Excess energy over the best structure of this formula in the dataset in meV per atom: 0.0
Volume in Å³ per cell: 113.49
DOS(E_F) in states/eV/atom: 3.407
Formation energy in eV/atom: -0.12

Unit cell a=5.0872 b=5.0872 c=4.3853 alpha=90.00 beta=90.00 gamma=90.00
Fractional coordinates of all 4 atoms:
Pu (0.0000, 0.0000, 0.0000)
Np (0.5000, 0.5000, 0.0000)
Bi (0.0000, 0.5000, 0.5000)
Bi (0.5000, 0.0000, 0.5000)

Record 11
Density functional theory data (PBE) for a relaxed Ag2TeRhBr crystal.

Volume in Å³ per cell: 129.34
DOS(E_F) in states/eV/atom: 1.365
ΔE_f (raw) in eV per atom: 0.587

Unit cell a=5.3311 b=5.3311 c=4.5508 alpha=90.00 beta=90.00 gamma=90.00
Fractional coordinates of all 5 atoms:
Ag (0.0000, 0.5000, 0.0000)
Ag (0.5000, 0.0000, 0.0000)
Te (0.0000, 0.0000, 0.5000)
Rh (0.5000, 0.5000, 0.0000)
Br (0.5000, 0.5000, 0.5000)

Record 12
Density functional theory data (PBE) for a relaxed YGa2Ag2 crystal.

Volume in Å³ per cell: 196.83
DOS(E_F) in states/eV/atom: 0.631
Formation energy in eV/atom: -0.14

Unit cell a=8.0703 b=8.0703 c=3.0222 alpha=90.00 beta=90.00 gamma=90.00
Fractional coordinates of all 10 atoms:
Y (0.0000, 0.0000, 0.0000)
Y (0.5000, 0.5000, 0.0000)
Ga (0.1726, 0.3274, 0.5000)
Ga (0.3274, 0.8274, 0.5000)
Ga (0.6726, 0.1726, 0.5000)
Ga (0.8274, 0.6726, 0.5000)
Ag (0.1248, 0.6248, 0.0000)
Ag (0.3752, 0.1248, 0.0000)
Ag (0.6248, 0.8752, 0.0000)
Ag (0.8752, 0.3752, 0.0000)

Record 13
Density functional theory data (PBE) for a relaxed Sm7HoTm2 crystal.

Excess energy over the best structure of this formula in the dataset in meV per atom: 642.8
Volume in Å³ per cell: 403.24
DOS(E_F) in states/eV/atom: 1.459
Formation energy in eV/atom: 0.66

Unit cell a=9.3339 b=9.3339 c=5.5719 alpha=90.00 beta=90.00 gamma=123.83
Fractional coordinates of all 10 atoms:
Sm (0.0000, 0.0000, 0.0000)
Sm (0.2088, 0.4346, 0.0000)
Sm (0.2867, 0.7133, 0.5000)
Sm (0.4346, 0.2088, 0.0000)
Sm (0.5654, 0.7912, 0.0000)
Sm (0.7133, 0.2867, 0.5000)
Sm (0.7912, 0.5654, 0.0000)
Ho (0.5000, 0.5000, 0.5000)
Tm (0.2047, 0.7953, 0.0000)
Tm (0.7953, 0.2047, 0.0000)

Record 14
Density functional theory data (PBE) for a relaxed Ac3Dy2Pb3 crystal.

Excess energy over the best structure of this formula in the dataset in meV per atom: 0.0
Volume in Å³ per cell: 563.15
DOS(E_F) in states/eV/atom: 1.108
Formation energy in eV/atom: -0.49

Unit cell a=9.6902 b=9.6902 c=6.9251 alpha=90.00 beta=90.00 gamma=120.00
Fractional coordinates of all 16 atoms:
Ac (0.0000, 0.2452, 0.2500)
Ac (0.0000, 0.7548, 0.7500)
Ac (0.2452, 0.0000, 0.2500)
Ac (0.2452, 0.2452, 0.7500)
Ac (0.7548, 0.0000, 0.7500)
Ac (0.7548, 0.7548, 0.2500)
Dy (0.3333, 0.6667, 0.0000)
Dy (0.3333, 0.6667, 0.5000)
Dy (0.6667, 0.3333, 0.0000)
Dy (0.6667, 0.3333, 0.5000)
Pb (0.0000, 0.4011, 0.7500)
Pb (0.0000, 0.5989, 0.2500)
Pb (0.4011, 0.0000, 0.7500)
Pb (0.4011, 0.4011, 0.2500)
Pb (0.5989, 0.0000, 0.2500)
Pb (0.5989, 0.5989, 0.7500)

Record 15
Density functional theory data (PBE) for a relaxed ErTm5S6 crystal.

Volume in Å³ per cell: 240.92
DOS(E_F) in states/eV/atom: 0.340
ΔE_f (raw) in eV per atom: -1.936

Unit cell a=6.6732 b=6.6732 c=6.6450 alpha=99.67 beta=99.67 gamma=120.16
Fractional coordinates of all 12 atoms:
Er (0.0000, 0.0000, 0.0000)
Tm (0.1658, 0.8342, 0.5000)
Tm (0.3335, 0.6665, 0.0000)
Tm (0.5000, 0.5000, 0.5000)
Tm (0.6665, 0.3335, 0.0000)
Tm (0.8342, 0.1658, 0.5000)
S (0.0836, 0.4184, 0.2509)
S (0.2513, 0.2513, 0.7497)
S (0.4184, 0.0836, 0.2509)
S (0.5816, 0.9164, 0.7491)
S (0.7487, 0.7487, 0.2503)
S (0.9164, 0.5816, 0.7491)

Record 16
Density functional theory data (PBE) for a relaxed Cu2As crystal.

Volume in Å³ per cell: 44.00
DOS(E_F) in states/eV/atom: 0.630
Formation energy in eV/atom: 0.27

Unit cell a=4.2492 b=4.2492 c=2.8140 alpha=90.00 beta=90.00 gamma=120.00
Fractional coordinates of all 3 atoms:
Cu (0.3333, 0.6667, 0.0000)
Cu (0.6667, 0.3333, 0.0000)
As (0.0000, 0.0000, 0.5000)

Record 17
Density functional theory data (PBE) for a relaxed La4Tb2PrTm crystal.

Volume in Å³ per cell: 279.19
DOS(E_F) in states/eV/atom: 1.734
Formation energy in eV/atom: 0.09

Unit cell a=6.0289 b=6.0300 c=7.6798 alpha=90.00 beta=90.00 gamma=90.00
Fractional coordinates of all 8 atoms:
La (0.0010, 0.0000, 0.2462)
La (0.4980, 0.5000, 0.2441)
La (0.5020, 0.5000, 0.7559)
La (0.9990, 0.0000, 0.7538)
Tb (0.0000, 0.5000, 0.0000)
Tb (0.5000, 0.0000, 0.0000)
Pr (0.5000, 0.0000, 0.5000)
Tm (0.0000, 0.5000, 0.5000)

Record 18
Density functional theory data (PBE) for a relaxed SmHoThMg crystal.

Excess energy over the best structure of this formula in the dataset in meV per atom: 208.7
Volume in Å³ per cell: 483.68
DOS(E_F) in states/eV/atom: 1.906
Formation energy in eV/atom: 0.16

Unit cell a=7.8497 b=7.8497 c=7.8497 alpha=90.00 beta=90.00 gamma=90.00
Fractional coordinates of all 16 atoms:
Sm (0.0000, 0.0000, 0.0000)
Sm (0.0000, 0.5000, 0.5000)
Sm (0.5000, 0.0000, 0.5000)
Sm (0.5000, 0.5000, 0.0000)
Ho (0.0000, 0.0000, 0.5000)
Ho (0.0000, 0.5000, 0.0000)
Ho (0.5000, 0.0000, 0.0000)
Ho (0.5000, 0.5000, 0.5000)
Th (0.2500, 0.2500, 0.2500)
Th (0.2500, 0.7500, 0.7500)
Th (0.7500, 0.2500, 0.7500)
Th (0.7500, 0.7500, 0.2500)
Mg (0.2500, 0.2500, 0.7500)
Mg (0.2500, 0.7500, 0.2500)
Mg (0.7500, 0.2500, 0.2500)
Mg (0.7500, 0.7500, 0.7500)

Record 19
Density functional theory data (PBE) for a relaxed Rb2NaSe2 crystal.

Excess energy over the best structure of this formula in the dataset in meV per atom: 0.0
Volume in Å³ per cell: 340.55
DOS(E_F) in states/eV/atom: 0.367
ΔE_f (raw) in eV per atom: -0.918

Unit cell a=4.7436 b=7.0097 c=10.2417 alpha=90.00 beta=90.00 gamma=90.00
Fractional coordinates of all 10 atoms:
Rb (0.0000, 0.0000, 0.1887)
Rb (0.0000, 0.0000, 0.8113)
Rb (0.5000, 0.5000, 0.3113)
Rb (0.5000, 0.5000, 0.6887)
Na (0.0000, 0.5000, 0.0000)
Na (0.5000, 0.0000, 0.5000)
Se (0.0000, 0.2461, 0.5000)
Se (0.0000, 0.7539, 0.5000)
Se (0.5000, 0.2539, 0.0000)
Se (0.5000, 0.7461, 0.0000)

Record 20
Density functional theory data (PBE) for a relaxed TcAs2Ir crystal.

Excess energy over the best structure of this formula in the dataset in meV per atom: 325.4
Volume in Å³ per cell: 124.10
DOS(E_F) in states/eV/atom: 0.970
Formation energy in eV/atom: 0.29

Unit cell a=3.6922 b=3.6922 c=9.1037 alpha=90.00 beta=90.00 gamma=90.00
Fractional coordinates of all 8 atoms:
Tc (0.0000, 0.0000, 0.0000)
Tc (0.5000, 0.5000, 0.5000)
As (0.0000, 0.0000, 0.5000)
As (0.0000, 0.5000, 0.7500)
As (0.5000, 0.0000, 0.2500)
As (0.5000, 0.5000, 0.0000)
Ir (0.0000, 0.5000, 0.2500)
Ir (0.5000, 0.0000, 0.7500)

| no. | theoretical density (g/cm³) | calculated total energy (eV for the cell shown) |
| --- | --- | --- |
| 1 | 10.59 | -52.334 |
| 2 | 6.24 | -98.781 |
| 3 | 10.11 | -110.263 |
| 4 | 11.15 | -62.549 |
| 5 | 6.01 | -32.390 |
| 6 | 2.65 | -12.466 |
| 7 | 7.12 | -55.679 |
| 8 | 9.40 | -38.650 |
| 9 | 7.78 | -50.080 |
| 10 | 13.15 | -35.530 |
| 11 | 6.76 | -14.935 |
| 12 | 7.49 | -37.882 |
| 13 | 6.40 | -39.936 |
| 14 | 9.60 | -73.080 |
| 15 | 8.30 | -74.912 |
| 16 | 7.62 | -12.034 |
| 17 | 7.04 | -37.518 |
| 18 | 7.85 | -70.617 |
| 19 | 3.43 | -29.629 |
| 20 | 11.78 | -54.758 |